Entry 1:
VASP calculation (PBE) on an optimized crystal structure of Ti5Al4Hg.

a = 2.840 Å, b = 2.840 Å, c = 20.669 Å
α = 90.00°, β = 90.00°, γ = 90.00°
Element x y z (fractional)
Ti 0.000 0.000 0.000
Ti 0.000 0.000 0.197
Ti 0.000 0.000 0.387
Ti 0.000 0.000 0.613
Ti 0.000 0.000 0.803
Al 0.500 0.500 0.098
Al 0.500 0.500 0.294
Al 0.500 0.500 0.706
Al 0.500 0.500 0.902
Hg 0.500 0.500 0.500

**D(E_F)**: 10.188 states/eV/f.u.
**DFT total energy**: -58.01 eV for the cell shown
**Calculated density**: 5.5 g/cm3
**ΔH_f (0 K)**: -326 meV per atom

---

Entry 2:
VASP calculation (PBE) on an optimized crystal structure of Sr2Zn2Sb.

a = 10.143 Å, b = 10.143 Å, c = 10.143 Å
α = 157.75°, β = 157.75°, γ = 31.68°
Element x y z (fractional)
Sr 0.104 0.104 0.000
Sr 0.896 0.896 0.000
Zn 0.250 0.750 0.500
Zn 0.750 0.250 0.500
Sb 0.500 0.500 0.000

**D(E_F)**: 2.457 states/eV/f.u.
**Energy above the lowest structure with this stoichiometry**: 0.051 eV per atom
**DFT total energy**: -11.90 eV for the cell shown
**E_form (uncorrected)**: -1.9 eV per formula unit
**Calculated density**: 4.8 g/cm3

---

Entry 3:
VASP calculation (PBE) on an optimized crystal structure of YHO2F.

a = 4.528 Å, b = 4.528 Å, c = 4.401 Å
α = 90.00°, β = 90.00°, γ = 90.00°
Element x y z (fractional)
Y 0.000 0.000 0.000
H 0.500 0.500 0.500
O 0.000 0.500 0.000
O 0.500 0.000 0.000
F 0.000 0.000 0.500

**D(E_F)**: 5.680 states/eV/f.u.
**DFT total energy**: -27.86 eV for the cell shown
**Calculated density**: 2.6 g/cm3

---

Entry 4:
VASP calculation (PBE) on an optimized crystal structure of Na8B3O8.

a = 8.914 Å, b = 8.914 Å, c = 7.630 Å
α = 111.06°, β = 111.06°, γ = 29.10°
Element x y z (fractional)
Na 0.032 0.032 0.227
Na 0.198 0.198 0.826
Na 0.322 0.322 0.521
Na 0.388 0.388 0.086
Na 0.612 0.612 0.914
Na 0.678 0.678 0.479
Na 0.802 0.802 0.174
Na 0.968 0.968 0.773
B 0.185 0.185 0.184
B 0.500 0.500 0.500
B 0.815 0.815 0.816
O 0.113 0.113 0.014
O 0.176 0.176 0.357
O 0.265 0.265 0.174
O 0.484 0.484 0.652
O 0.516 0.516 0.348
O 0.735 0.735 0.826
O 0.824 0.824 0.643
O 0.887 0.887 0.986

**D(E_F)**: 1.902 states/eV/f.u.
**DFT total energy**: -105.60 eV for the cell shown
**E_form (uncorrected)**: -35.4 eV per formula unit
**Calculated density**: 2.1 g/cm3

---

Entry 5:
VASP calculation (PBE) on an optimized crystal structure of Ta2RuSe.

a = 3.053 Å, b = 3.053 Å, c = 7.091 Å
α = 90.00°, β = 90.00°, γ = 90.00°
Element x y z (fractional)
Ta 0.000 0.000 0.242
Ta 0.000 0.000 0.758
Ru 0.500 0.500 0.000
Se 0.500 0.500 0.500

**D(E_F)**: 3.392 states/eV/f.u.
**DFT total energy**: -37.23 eV for the cell shown
**E_form (uncorrected)**: -0.8 eV per formula unit
**Calculated density**: 13.6 g/cm3

---

Entry 6:
VASP calculation (PBE) on an optimized crystal structure of Ce6PuS12.

a = 8.030 Å, b = 8.030 Å, c = 8.030 Å
α = 99.66°, β = 99.66°, γ = 99.66°
Element x y z (fractional)
Ce 0.120 0.636 0.802
Ce 0.198 0.880 0.364
Ce 0.364 0.198 0.880
Ce 0.636 0.802 0.120
Ce 0.802 0.120 0.636
Ce 0.880 0.364 0.198
Pu 0.500 0.500 0.500
S 0.068 0.323 0.919
S 0.081 0.932 0.677
S 0.176 0.554 0.437
S 0.323 0.919 0.068
S 0.437 0.176 0.554
S 0.446 0.563 0.824
S 0.554 0.437 0.176
S 0.563 0.824 0.446
S 0.677 0.081 0.932
S 0.824 0.446 0.563
S 0.919 0.068 0.323
S 0.932 0.677 0.081

**D(E_F)**: 41.267 states/eV/f.u.
**DFT total energy**: -135.15 eV for the cell shown
**E_form (uncorrected)**: -35.7 eV per formula unit
**Calculated density**: 5.0 g/cm3